Record 1
Ta2CuP after structural relaxation. Source: the Alexandria database, functional PBE.

energy of formation from the pure elements: 0.44 eV per atom
DFT total energy: -7.863 eV/atom

Cell lengths 4.454, 4.454, 4.454 Å; angles 60.00, 60.00, 60.00 degrees
Positions (direct):
Cu 0.500 0.500 0.500
P 0.750 0.750 0.750
Ta 0.000 0.000 0.000
Ta 0.250 0.250 0.250

=====

Record 2
TaCuP2 after structural relaxation. Source: the Alexandria database, functional PBE.

energy of formation from the pure elements: -0.04 eV per atom
DFT total energy: -6.730 eV/atom
energy relative to the lowest polymorph listed for this composition: 304 meV per atom

Cell lengths 5.483, 5.483, 6.646 Å; angles 65.64, 65.64, 90.00 degrees
Positions (direct):
P 0.612 0.125 0.250
P 0.138 0.625 0.250
P 0.375 0.388 0.750
P 0.875 0.862 0.750
Cu 0.500 0.500 0.000
Cu 0.250 0.750 0.500
Ta 0.000 0.000 0.000
Ta 0.750 0.250 0.500

=====

Record 3
TaCuP after structural relaxation. Source: the Alexandria database, functional PBE.

energy of formation from the pure elements: 0.23 eV per atom
DFT total energy: -6.892 eV/atom

Cell lengths 4.175, 4.175, 4.175 Å; angles 60.00, 60.00, 60.00 degrees
Positions (direct):
Cu 0.000 0.000 0.000
P 0.500 0.500 0.500
Ta 0.750 0.750 0.750

=====

Record 4
TaCu3P4 after structural relaxation. Source: the Alexandria database, functional PBE.

energy of formation from the pure elements: 0.13 eV per atom
DFT total energy: -5.592 eV/atom

Cell lengths 5.457, 5.457, 5.457 Å; angles 90.00, 90.00, 90.00 degrees
Positions (direct):
Ta 0.000 0.000 0.000
Cu 0.500 0.000 0.000
Cu 0.000 0.500 0.000
Cu 0.000 0.000 0.500
P 0.255 0.255 0.255
P 0.745 0.745 0.255
P 0.745 0.255 0.745
P 0.255 0.745 0.745

=====

Record 5
TaCuP after structural relaxation. Source: the Alexandria database, functional PBE.

energy of formation from the pure elements: -0.06 eV per atom
DFT total energy: -7.184 eV/atom

Cell lengths 4.873, 4.873, 4.873 Å; angles 142.07, 142.07, 54.72 degrees
Positions (direct):
Cu 0.989 0.989 0.000
P 0.333 0.333 0.000
Ta 0.677 0.677 0.000

=====

Record 6
Ta2CuP after structural relaxation. Source: the Alexandria database, functional PBE.

energy of formation from the pure elements: -0.13 eV per atom
DFT total energy: -8.432 eV/atom

Cell lengths 4.537, 4.537, 3.009 Å; angles 84.49, 84.49, 100.40 degrees
Positions (direct):
Cu 0.500 0.000 0.500
P 0.000 0.500 0.500
Ta 0.000 0.000 0.000
Ta 0.500 0.500 0.000

=====

Record 7
TaCuP after structural relaxation. Source: the Alexandria database, functional PBE.

energy of formation from the pure elements: 0.12 eV per atom
DFT total energy: -6.997 eV/atom

Cell lengths 2.899, 2.899, 6.228 Å; angles 90.00, 90.00, 120.00 degrees
Positions (direct):
Cu 0.000 0.000 0.016
P 0.333 0.667 0.328
Ta 0.667 0.333 0.656

=====

Record 8
Ta2CuP after structural relaxation. Source: the Alexandria database, functional PBE.

energy of formation from the pure elements: -0.15 eV per atom
DFT total energy: -8.451 eV/atom

Cell lengths 3.099, 3.099, 6.332 Å; angles 90.00, 90.00, 89.99 degrees
Positions (direct):
Cu 0.500 0.500 0.250
P 0.500 0.500 0.750
Ta 0.000 0.000 0.979
Ta 0.000 0.000 0.521

=====

> Which of these has the highest DFT total energy?

TaCu3P4